# 1
Below is a crystal of YAlTe2 relaxed with PBEsol, with properties calculated at the meta-GGA SCAN level.

abc: 4.275 4.275 6.087
angles: 90.00 90.00 90.00
Space group P4/mmm (No. 123)
Inequivalent atoms, fractional coordinates:
Y 0.000 0.000 0.000 [1 per cell]
Al 0.500 0.500 0.500 [1 per cell]
Te 0.000 0.000 0.500 [1 per cell]
Te 0.500 0.500 0.000 [1 per cell]

Calculated values
* ρ: 5.54 g cm⁻³
* raw total energy: -113.37 eV per cell
* formation energy without anion corrections: -819 meV/atom

# 2
Below is a crystal of YAlTe2 relaxed with PBEsol, with properties calculated at the meta-GGA SCAN level.

abc: 4.252 4.164 11.520
angles: 90.00 90.00 90.00
Space group Amm2 (No. 38)
Inequivalent atoms, fractional coordinates:
Y 0.000 0.000 0.000 [2 per cell]
Al 0.500 0.000 0.809 [2 per cell]
Te 0.000 0.000 0.294 [2 per cell]
Te 0.500 0.000 0.578 [2 per cell]

Calculated values
* ρ: 6.04 g cm⁻³
* raw total energy: -228.29 eV per cell
* formation energy without anion corrections: -1012 meV/atom

# 3
Below is a crystal of YAlTe relaxed with PBEsol, with properties calculated at the meta-GGA SCAN level.

abc: 4.8319 4.8319 3.6522
angles: 90.00 90.00 120.00
Space group P-6m2 (No. 187)
Inequivalent atoms, fractional coordinates:
Y 0.0000 0.0000 0.0000 [1 per cell]
Al 0.3333 0.6667 0.5000 [1 per cell]
Te 0.6667 0.3333 0.5000 [1 per cell]

Calculated values
* ρ: 5.48 g cm⁻³
* raw total energy: -74.18 eV per cell
* formation energy without anion corrections: -446 meV/atom

# 4
Below is a crystal of YAlTe2 relaxed with PBEsol, with properties calculated at the meta-GGA SCAN level.

abc: 4.1765 4.1765 23.6432
angles: 90.00 90.00 120.00
Space group R3m (No. 160, hexagonal axes)
Inequivalent atoms, fractional coordinates:
Y 0.0000 0.0000 0.0000 [3 per cell]
Al 0.0000 0.0000 0.2497 [3 per cell]
Te 0.0000 0.0000 0.5291 [3 per cell]
Te 0.0000 0.0000 0.7396 [3 per cell]

Calculated values
* ρ: 5.18 g cm⁻³
* raw total energy: -338.84 eV per cell
* formation energy without anion corrections: -713 meV/atom

# 5
Below is a crystal of Y2Al2Te relaxed with PBEsol, with properties calculated at the meta-GGA SCAN level.

abc: 7.787 7.787 4.321
angles: 90.00 90.00 90.00
Space group P4/mbm (No. 127)
Inequivalent atoms, fractional coordinates:
Y 0.167 0.333 0.000 [4 per cell]
Al 0.123 0.623 0.500 [4 per cell]
Te 0.000 0.000 0.000 [2 per cell]

Calculated values
* ρ: 4.56 g cm⁻³
* raw total energy: -221.84 eV per cell
* formation energy without anion corrections: -495 meV/atom

# 6
Below is a crystal of Y2AlTe relaxed with PBEsol, with properties calculated at the meta-GGA SCAN level.

abc: 4.0111 4.0111 23.2396
angles: 90.00 90.00 120.00
Space group R-3m (No. 166, hexagonal axes)
Inequivalent atoms, fractional coordinates:
Y 0.0000 0.0000 0.2486 [6 per cell]
Al 0.0000 0.0000 0.5000 [3 per cell]
Te 0.0000 0.0000 0.0000 [3 per cell]

Calculated values
* ρ: 5.11 g cm⁻³
* raw total energy: -312.77 eV per cell
* formation energy without anion corrections: -892 meV/atom

# 7
Below is a crystal of YAlTe2 relaxed with PBEsol, with properties calculated at the meta-GGA SCAN level.

abc: 5.115 5.115 3.772
angles: 90.00 90.00 90.00
Space group P4/mmm (No. 123)
Inequivalent atoms, fractional coordinates:
Y 0.000 0.000 0.000 [1 per cell]
Al 0.500 0.500 0.000 [1 per cell]
Te 0.000 0.500 0.500 [2 per cell]

Calculated values
* ρ: 6.24 g cm⁻³
* raw total energy: -112.61 eV per cell
* formation energy without anion corrections: -629 meV/atom

# 8
Below is a crystal of YAlTe relaxed with PBEsol, with properties calculated at the meta-GGA SCAN level.

abc: 3.8086 3.8086 6.3205
angles: 90.00 90.00 120.00
Space group P3m1 (No. 156)
Inequivalent atoms, fractional coordinates:
Y 0.0000 0.0000 0.0000 [1 per cell]
Al 0.3333 0.6667 0.6401 [1 per cell]
Te 0.6667 0.3333 0.3387 [1 per cell]

Calculated values
* ρ: 5.09 g cm⁻³
* raw total energy: -73.96 eV per cell
* formation energy without anion corrections: -372 meV/atom